Rb3Ac3NpSe8, relaxed, DFT GGA-PBE; ΔE_f (raw) = -1.6492 eV per atom
1.0
-3.477 4.673 -6.930
-5.342 -2.633 6.817
6.282 7.154 1.672
Se Ac Rb Np
8 3 3 1
direct
0.218 0.974 0.693
0.264 0.528 0.292
0.782 0.026 0.307
0.756 0.974 0.693
0.736 0.472 0.708
0.244 0.026 0.307
0.218 0.437 0.693
0.782 0.563 0.307
0.500 0.000 0.500
0.000 0.500 0.500
0.500 0.500 0.500
0.500 0.500 0.000
0.000 0.500 0.000
0.000 0.000 0.000
0.000 0.000 0.500